Version one
# Li2CoAg2, optimized geometry, DFT PBE
data_Li2CoAg2
_symmetry_space_group_name_H-M 'P 1'
_symmetry_Int_Tables_number 1
_cell_length_a 3.3987
_cell_length_b 3.3987
_cell_length_c 7.2998
_cell_angle_alpha 76.54
_cell_angle_beta 76.54
_cell_angle_gamma 90.00
loop_
_symmetry_equiv_pos_as_xyz
'x,y,z'
loop_
_atom_site_label
_atom_site_fract_x
_atom_site_fract_y
_atom_site_fract_z
Ag1 0.4004 0.4004 0.1992
Li1 0.7500 0.2500 0.5000
Co1 0.0000 0.0000 0.0000
Li2 0.2500 0.7500 0.5000
Ag2 0.5996 0.5996 0.8008
# Calculated density, Mg/m³: 6.02
# SG: I4/mmm
# N(E_F), states/eV per cell: 4.280

Version two
# Li2CoAg2, optimized geometry, DFT PBE
data_Li2CoAg2
_symmetry_space_group_name_H-M 'P 1'
_symmetry_Int_Tables_number 1
_cell_length_a 7.3631
_cell_length_b 7.3631
_cell_length_c 2.8153
_cell_angle_alpha 90.00
_cell_angle_beta 90.00
_cell_angle_gamma 90.00
loop_
_symmetry_equiv_pos_as_xyz
'x,y,z'
loop_
_atom_site_label
_atom_site_fract_x
_atom_site_fract_y
_atom_site_fract_z
Li1 0.8411 0.3411 0.5000
Co1 0.0000 0.0000 0.0000
Li2 0.6589 0.8411 0.5000
Ag1 0.6426 0.1426 0.0000
Ag2 0.3574 0.8574 0.0000
Ag3 0.1426 0.3574 0.0000
Li3 0.1589 0.6589 0.5000
Co2 0.5000 0.5000 0.0000
Li4 0.3411 0.1589 0.5000
Ag4 0.8574 0.6426 0.0000
# Calculated density, Mg/m³: 6.28
# SG: P4/mbm
# N(E_F), states/eV per cell: 7.976

Version three
# Li2CoAg2, optimized geometry, DFT PBE
data_Li2CoAg2
_symmetry_space_group_name_H-M 'P 1'
_symmetry_Int_Tables_number 1
_cell_length_a 7.0484
_cell_length_b 7.0484
_cell_length_c 2.9226
_cell_angle_alpha 90.00
_cell_angle_beta 90.00
_cell_angle_gamma 90.00
loop_
_symmetry_equiv_pos_as_xyz
'x,y,z'
loop_
_atom_site_label
_atom_site_fract_x
_atom_site_fract_y
_atom_site_fract_z
Ag1 0.8239 0.3239 0.5000
Li1 0.1270 0.3730 0.0000
Li2 0.3730 0.8730 0.0000
Li3 0.8730 0.6270 0.0000
Li4 0.6270 0.1270 0.0000
Ag2 0.1761 0.6761 0.5000
Ag3 0.6761 0.8239 0.5000
Co1 0.0000 0.0000 0.0000
Co2 0.5000 0.5000 0.0000
Ag4 0.3239 0.1761 0.5000
# Calculated density, Mg/m³: 6.60
# SG: P4/mbm
# N(E_F), states/eV per cell: 6.986

Most stable to least stable: version three, version two, version one

Version one
# Lu2CoAg, optimized geometry, DFT PBE
data_Lu2CoAg
_symmetry_space_group_name_H-M 'P 1'
_symmetry_Int_Tables_number 1
_cell_length_a 4.8314
_cell_length_b 4.8314
_cell_length_c 4.8314
_cell_angle_alpha 60.00
_cell_angle_beta 60.00
_cell_angle_gamma 60.00
loop_
_symmetry_equiv_pos_as_xyz
'x,y,z'
loop_
_atom_site_label
_atom_site_fract_x
_atom_site_fract_y
_atom_site_fract_z
Co1 0.0000 0.0000 0.0000
Lu1 0.7500 0.7500 0.7500
Lu2 0.2500 0.2500 0.2500
Ag1 0.5000 0.5000 0.5000
# Calculated density, Mg/m³: 10.76
# SG: Fm-3m
# N(E_F), states/eV per cell: 3.130

Version two
# Lu2CoAg, optimized geometry, DFT PBE
data_Lu2CoAg
_symmetry_space_group_name_H-M 'P 1'
_symmetry_Int_Tables_number 1
_cell_length_a 3.5286
_cell_length_b 3.5286
_cell_length_c 9.2654
_cell_angle_alpha 79.02
_cell_angle_beta 79.02
_cell_angle_gamma 60.00
loop_
_symmetry_equiv_pos_as_xyz
'x,y,z'
loop_
_atom_site_label
_atom_site_fract_x
_atom_site_fract_y
_atom_site_fract_z
Co1 0.5000 0.5000 0.5000
Lu1 0.8911 0.8911 0.3268
Lu2 0.1089 0.1089 0.6732
Ag1 0.0000 0.0000 0.0000
# Calculated density, Mg/m³: 8.80
# SG: R-3m
# N(E_F), states/eV per cell: 1.876

Most stable to least stable: version one, version two

Version one
# MnCo2Ag, optimized geometry, DFT PBE
data_MnCo2Ag
_symmetry_space_group_name_H-M 'P 1'
_symmetry_Int_Tables_number 1
_cell_length_a 8.7371
_cell_length_b 8.7371
_cell_length_c 8.7371
_cell_angle_alpha 17.75
_cell_angle_beta 17.75
_cell_angle_gamma 17.75
loop_
_symmetry_equiv_pos_as_xyz
'x,y,z'
loop_
_atom_site_label
_atom_site_fract_x
_atom_site_fract_y
_atom_site_fract_z
Co1 0.9915 0.9915 0.9915
Ag1 0.7486 0.7486 0.7486
Mn1 0.5077 0.5077 0.5077
Co2 0.2522 0.2522 0.2522
# Calculated density, Mg/m³: 8.61
# SG: R3m
# N(E_F), states/eV per cell: 3.949

Version two
# MnCo2Ag, optimized geometry, DFT PBE
data_MnCo2Ag
_symmetry_space_group_name_H-M 'P 1'
_symmetry_Int_Tables_number 1
_cell_length_a 4.5711
_cell_length_b 4.5711
_cell_length_c 4.6534
_cell_angle_alpha 78.93
_cell_angle_beta 78.93
_cell_angle_gamma 34.59
loop_
_symmetry_equiv_pos_as_xyz
'x,y,z'
loop_
_atom_site_label
_atom_site_fract_x
_atom_site_fract_y
_atom_site_fract_z
Co1 0.4939 0.4939 0.5282
Ag1 0.2500 0.2500 0.2500
Mn1 0.7500 0.7500 0.7500
Co2 0.0061 0.0061 0.9718
# Calculated density, Mg/m³: 8.62
# SG: C2/m
# N(E_F), states/eV per cell: 4.459

Version three
# MnCo2Ag, optimized geometry, DFT PBE
data_MnCo2Ag
_symmetry_space_group_name_H-M 'P 1'
_symmetry_Int_Tables_number 1
_cell_length_a 2.8590
_cell_length_b 2.8594
_cell_length_c 6.3177
_cell_angle_alpha 90.00
_cell_angle_beta 90.00
_cell_angle_gamma 90.00
loop_
_symmetry_equiv_pos_as_xyz
'x,y,z'
loop_
_atom_site_label
_atom_site_fract_x
_atom_site_fract_y
_atom_site_fract_z
Mn1 0.5000 0.5000 0.2500
Co1 0.0000 0.0000 0.4574
Co2 0.0000 0.0000 0.0426
Ag1 0.5000 0.5000 0.7500
# Calculated density, Mg/m³: 9.02
# SG: P4/mmm
# N(E_F), states/eV per cell: 4.980

Version four
# MnCo2Ag, optimized geometry, DFT PBE
data_MnCo2Ag
_symmetry_space_group_name_H-M 'P 1'
_symmetry_Int_Tables_number 1
_cell_length_a 4.5526
_cell_length_b 4.5526
_cell_length_c 2.7203
_cell_angle_alpha 90.00
_cell_angle_beta 90.00
_cell_angle_gamma 108.50
loop_
_symmetry_equiv_pos_as_xyz
'x,y,z'
loop_
_atom_site_label
_atom_site_fract_x
_atom_site_fract_y
_atom_site_fract_z
Mn1 0.5000 0.0000 0.5000
Co1 0.5000 0.5000 0.0000
Co2 0.0000 0.0000 0.0000
Ag1 0.0000 0.5000 0.5000
# Calculated density, Mg/m³: 8.72
# SG: Cmmm
# N(E_F), states/eV per cell: 4.858

Most stable to least stable: version three, version one, version two, version four

Version one
# MnCo2Ag, optimized geometry, DFT PBE
data_MnCo2Ag
_symmetry_space_group_name_H-M 'P 1'
_symmetry_Int_Tables_number 1
_cell_length_a 5.0029
_cell_length_b 5.0029
_cell_length_c 5.0029
_cell_angle_alpha 145.83
_cell_angle_beta 129.22
_cell_angle_gamma 62.64
loop_
_symmetry_equiv_pos_as_xyz
'x,y,z'
loop_
_atom_site_label
_atom_site_fract_x
_atom_site_fract_y
_atom_site_fract_z
Co1 0.5130 0.5130 0.0000
Mn1 0.7500 0.2500 0.5000
Co2 0.9870 0.9870 0.0000
Ag1 0.2500 0.7500 0.5000
# Calculated density, Mg/m³: 8.65
# SG: Immm
# N(E_F), states/eV per cell: 4.603

Version two
# MnCo2Ag, optimized geometry, DFT PBE
data_MnCo2Ag
_symmetry_space_group_name_H-M 'P 1'
_symmetry_Int_Tables_number 1
_cell_length_a 2.7995
_cell_length_b 2.7995
_cell_length_c 6.9543
_cell_angle_alpha 90.00
_cell_angle_beta 90.00
_cell_angle_gamma 90.00
loop_
_symmetry_equiv_pos_as_xyz
'x,y,z'
loop_
_atom_site_label
_atom_site_fract_x
_atom_site_fract_y
_atom_site_fract_z
Ag1 0.5000 0.5000 0.7613
Co1 0.0000 0.0000 0.0401
Mn1 0.0000 0.0000 0.4653
Co2 0.5000 0.5000 0.2333
# Calculated density, Mg/m³: 8.55
# SG: P4mm
# N(E_F), states/eV per cell: 3.113

Version three
# MnCo2Ag, optimized geometry, DFT PBE
data_MnCo2Ag
_symmetry_space_group_name_H-M 'P 1'
_symmetry_Int_Tables_number 1
_cell_length_a 6.5026
_cell_length_b 6.5026
_cell_length_c 5.2710
_cell_angle_alpha 51.92
_cell_angle_beta 51.92
_cell_angle_gamma 90.00
loop_
_symmetry_equiv_pos_as_xyz
'x,y,z'
loop_
_atom_site_label
_atom_site_fract_x
_atom_site_fract_y
_atom_site_fract_z
Ag1 0.0000 0.0000 0.0000
Co1 0.1686 0.6250 0.2500
Co2 0.5814 0.1250 0.2500
Mn1 0.2500 0.7500 0.5000
Mn2 0.5000 0.5000 0.0000
Co3 0.8750 0.8314 0.7500
Co4 0.3750 0.4186 0.7500
Ag2 0.7500 0.2500 0.5000
# Calculated density, Mg/m³: 8.55
# SG: I-42d
# N(E_F), states/eV per cell: 10.284

Version four
# MnCo2Ag, optimized geometry, DFT PBE
data_MnCo2Ag
_symmetry_space_group_name_H-M 'P 1'
_symmetry_Int_Tables_number 1
_cell_length_a 8.4691
_cell_length_b 8.4691
_cell_length_c 8.4691
_cell_angle_alpha 18.28
_cell_angle_beta 18.28
_cell_angle_gamma 18.28
loop_
_symmetry_equiv_pos_as_xyz
'x,y,z'
loop_
_atom_site_label
_atom_site_fract_x
_atom_site_fract_y
_atom_site_fract_z
Co1 0.9901 0.9901 0.9901
Mn1 0.2500 0.2500 0.2500
Ag1 0.7500 0.7500 0.7500
Co2 0.5099 0.5099 0.5099
# Calculated density, Mg/m³: 8.93
# SG: R-3m
# N(E_F), states/eV per cell: 3.866

Most stable to least stable: version two, version four, version one, version three

Version one
# MnCo2Ag2, optimized geometry, DFT PBE
data_MnCo2Ag2
_symmetry_space_group_name_H-M 'P 1'
_symmetry_Int_Tables_number 1
_cell_length_a 7.6172
_cell_length_b 7.6172
_cell_length_c 7.6172
_cell_angle_alpha 155.01
_cell_angle_beta 155.01
_cell_angle_gamma 35.64
loop_
_symmetry_equiv_pos_as_xyz
'x,y,z'
loop_
_atom_site_label
_atom_site_fract_x
_atom_site_fract_y
_atom_site_fract_z
Ag1 0.6015 0.6015 0.0000
Co1 0.7500 0.2500 0.5000
Mn1 0.0000 0.0000 0.0000
Ag2 0.3985 0.3985 0.0000
Co2 0.2500 0.7500 0.5000
# Calculated density, Mg/m³: 8.19
# SG: I4/mmm
# N(E_F), states/eV per cell: 3.791

Version two
# MnCo2Ag2, optimized geometry, DFT PBE
data_MnCo2Ag2
_symmetry_space_group_name_H-M 'P 1'
_symmetry_Int_Tables_number 1
_cell_length_a 6.3964
_cell_length_b 6.3964
_cell_length_c 6.3964
_cell_angle_alpha 145.89
_cell_angle_beta 145.89
_cell_angle_gamma 49.01
loop_
_symmetry_equiv_pos_as_xyz
'x,y,z'
loop_
_atom_site_label
_atom_site_fract_x
_atom_site_fract_y
_atom_site_fract_z
Co1 0.4106 0.4106 0.0000
Ag1 0.7500 0.2500 0.5000
Co2 0.5894 0.5894 0.0000
Ag2 0.2500 0.7500 0.5000
Mn1 0.0000 0.0000 0.0000
# Calculated density, Mg/m³: 7.87
# SG: I4/mmm
# N(E_F), states/eV per cell: 3.109

Most stable to least stable: version one, version two